1.
Na2SmTlBr6 | PBE | optimized geometry

Unit cell a=7.654 b=7.654 c=8.260 alpha=62.39 beta=62.39 gamma=59.98
Fractional positions:
Na 0.518 0.518 0.445
Na 0.005 0.005 0.984
Br 0.368 0.723 0.759
Br 0.937 0.583 0.236
Br 0.583 0.244 0.236
Br 0.150 0.368 0.759
Br 0.244 0.937 0.235
Br 0.723 0.149 0.759
Tl 0.808 0.808 0.577
Sm 0.325 0.325 0.026

The value obtained for the raw total energy is -3.52 eV/atom. As for the calculated volume: 35.40 Å³ per atom. The calculation puts the formation energy (no corrections) at -1.548 eV per atom.

---

2.
PrHo2Zn2Sn2 | PBE | optimized geometry

Unit cell a=4.690 b=4.690 c=9.708 alpha=76.02 beta=76.02 gamma=60.00
Fractional positions:
Zn 0.576 0.576 0.271
Zn 0.424 0.424 0.729
Pr 0.000 0.000 0.000
Ho 0.868 0.868 0.397
Ho 0.132 0.132 0.603
Sn 0.736 0.736 0.791
Sn 0.264 0.264 0.209

The formation energy is -2.4 eV per formula unit. The value obtained for the raw total energy is -3.85 eV/atom. As for the calculated volume: 25.37 Å³ per atom.

---

3.
HoSi3IrRh | PBE | optimized geometry

Unit cell a=5.519 b=6.269 c=7.410 alpha=115.02 beta=90.00 gamma=90.00
Fractional positions:
Rh 0.250 0.056 0.112
Rh 0.750 0.944 0.888
Si 0.500 0.708 0.000
Si 0.500 0.292 0.000
Si 0.000 0.708 0.000
Si 0.250 0.224 0.448
Si 0.000 0.292 0.000
Si 0.750 0.776 0.552
Ho 0.750 0.185 0.369
Ho 0.250 0.815 0.631
Ir 0.750 0.609 0.218
Ir 0.250 0.391 0.782

The value obtained for the raw total energy is -6.77 eV/atom. As for the calculated volume: 19.36 Å³ per atom. The calculation puts the formation energy (no corrections) at -0.597 eV per atom.

---

4.
Ga2HgSeCl | PBE | optimized geometry

Unit cell a=5.893 b=5.309 c=5.893 alpha=90.00 beta=90.00 gamma=90.00
Fractional positions:
Hg 0.000 0.500 0.000
Ga 0.000 0.000 0.500
Ga 0.500 0.000 0.000
Se 0.000 0.000 0.000
Cl 0.500 0.500 0.500

For the polymorph energy (0 for the lowest one), the calculation gives 0 meV per atom. The value obtained for the raw total energy is -2.36 eV/atom. As for the calculated volume: 36.87 Å³ per atom. The calculation puts the formation energy (no corrections) at -0.020 eV per atom.

---

5.
HgPbAu2 | PBE | optimized geometry

Unit cell a=5.588 b=5.588 c=5.588 alpha=133.57 beta=133.57 gamma=67.76
Fractional positions:
Pb 0.750 0.250 0.500
Au 0.250 0.750 0.500
Au 0.000 0.000 0.000
Hg 0.500 0.500 0.000

For the polymorph energy (0 for the lowest one), the calculation gives 82 meV per atom. The formation energy is 0.3 eV per formula unit. The value obtained for the raw total energy is -2.57 eV/atom. As for the calculated volume: 22.50 Å³ per atom.

---

6.
Cd2CoRu | PBE | optimized geometry

Unit cell a=6.308 b=4.950 c=2.886 alpha=90.15 beta=62.50 gamma=120.17
Fractional positions:
Co 0.000 0.500 0.500
Cd 0.000 0.000 0.000
Cd 0.500 0.000 0.500
Ru 0.500 0.500 0.000

For the polymorph energy (0 for the lowest one), the calculation gives 233 meV per atom. The formation energy is 1.7 eV per formula unit. The value obtained for the raw total energy is -4.12 eV/atom. As for the calculated volume: 16.49 Å³ per atom.

---

7.
SmBiOsO6 | PBE | optimized geometry

Unit cell a=5.661 b=5.661 c=9.471 alpha=90.00 beta=90.00 gamma=120.00
Fractional positions:
O 0.951 0.331 0.134
O 0.331 0.381 0.866
O 0.049 0.669 0.866
O 0.381 0.331 0.366
O 0.669 0.619 0.134
O 0.619 0.669 0.634
O 0.951 0.619 0.366
O 0.669 0.049 0.366
O 0.331 0.951 0.634
O 0.381 0.049 0.134
O 0.619 0.951 0.866
O 0.049 0.381 0.634
Sm 0.333 0.667 0.250
Sm 0.667 0.333 0.750
Os 0.667 0.333 0.250
Os 0.333 0.667 0.750
Bi 0.000 0.000 0.500
Bi 0.000 0.000 0.000

The value obtained for the raw total energy is -7.18 eV/atom. As for the calculated volume: 14.60 Å³ per atom. The calculation puts the formation energy (no corrections) at -1.673 eV per atom.

---

8.
Y2LuSn | PBE | optimized geometry

Unit cell a=3.505 b=3.505 c=12.012 alpha=81.61 beta=81.61 gamma=60.00
Fractional positions:
Lu 0.500 0.500 0.500
Y 0.088 0.088 0.737
Y 0.912 0.912 0.263
Sn 0.000 0.000 0.000

For the polymorph energy (0 for the lowest one), the calculation gives 448 meV per atom. The formation energy is 0.2 eV per formula unit. The value obtained for the raw total energy is -5.31 eV/atom. As for the calculated volume: 31.48 Å³ per atom.